[1]
VASP calculation (GGA-PBEsol) on a relaxed ZnC5 crystal.

Structure (extended XYZ):
```
6
Lattice="2.403 0.000 0.000 0.000 4.621 0.000 0.000 -2.311 4.002" Properties=species:S:1:pos:R:3 pbc="T T T"
Zn 0.000 0.000 0.000
C 0.000 2.311 1.334
C 0.000 0.000 2.668
C 1.202 1.155 2.001
C 1.202 -1.155 2.001
C 1.202 2.311 0.000
```

Output
Calculated total energy: -33.1 eV for the cell shown
DFT formation energy: 2.7802 eV/atom



[2]
VASP calculation (GGA-PBEsol) on a relaxed Ba2LaRu crystal.

Structure (extended XYZ):
```
4
Lattice="3.876 0.000 0.000 0.000 4.157 -0.013 0.000 -2.059 9.322" Properties=species:S:1:pos:R:3 pbc="T T T"
Ba 0.000 -1.286 8.682
Ba 1.938 2.853 2.905
La 0.000 0.790 5.672
Ru 1.938 -1.271 6.027
```

Output
Calculated total energy: -19.3 eV for the cell shown
Polymorph energy (0 for the lowest one): 0.000 eV per atom
DFT formation energy: 0.1352 eV/atom



[3]
VASP calculation (GGA-PBEsol) on a relaxed TiSn2O4 crystal.

Structure (extended XYZ):
```
28
Lattice="-2.674 -2.592 -4.599 1.032 -7.569 3.665 -7.488 0.854 3.872" Properties=species:S:1:pos:R:3 pbc="T T T"
Ti -4.412 -0.221 0.786
Ti -1.489 -5.728 -1.617
Ti -5.749 -1.517 -1.513
Ti -0.152 -4.432 0.683
Sn -3.512 -3.687 0.312
Sn -5.618 -5.620 2.626
Sn -1.970 -4.699 3.793
Sn -4.486 -2.016 3.744
Sn -5.530 -5.623 6.383
Sn -1.659 -7.624 1.454
Sn -7.471 -1.683 1.485
Sn -0.926 -1.092 1.154
O -7.498 -3.596 2.579
O -1.631 -5.711 0.360
O -2.892 -0.577 2.006
O -3.564 -6.139 5.531
O -6.371 -2.093 4.883
O -5.059 -7.600 3.417
O -4.070 -1.707 -0.479
O -0.085 -4.622 2.654
O -6.807 -2.617 -0.278
O -6.244 -4.959 4.521
O -1.548 -3.052 0.717
O -3.659 -7.986 0.917
O -5.470 -1.321 2.021
O -7.581 -6.254 2.221
O -2.885 -4.348 -1.583
O -2.322 -6.690 3.217
```

Output
Calculated total energy: -208.7 eV for the cell shown



[4]
VASP calculation (GGA-PBEsol) on a relaxed Rb2W3SeO12 crystal.

Structure (extended XYZ):
```
36
Lattice="7.262 0.000 0.000 -3.631 6.289 0.000 0.000 0.000 12.148" Properties=species:S:1:pos:R:3 pbc="T T T"
Rb 3.631 2.096 11.592
Rb 0.000 4.193 5.518
Rb 3.631 2.096 6.897
Rb 0.000 4.193 0.823
W 0.095 2.132 8.945
W 1.737 5.306 8.945
W 3.536 4.157 2.871
W -1.832 5.140 8.945
W 1.894 0.983 2.871
W 5.463 1.149 2.871
Se 0.000 0.000 6.123
Se 0.000 0.000 0.049
O 0.022 1.568 6.866
O 2.262 5.525 6.866
O 3.609 4.721 0.792
O -2.285 5.486 6.866
O 1.369 0.764 0.792
O 5.915 0.803 0.792
O 1.348 3.447 8.398
O -0.028 5.733 8.398
O 2.283 2.842 2.325
O -1.320 3.398 8.398
O 3.659 0.556 2.325
O 4.951 2.891 2.325
O 0.041 2.533 10.644
O 1.417 5.058 10.644
O 3.590 3.756 4.570
O -1.458 4.987 10.644
O 2.214 1.231 4.570
O 5.089 1.302 4.570
O 5.926 0.803 9.082
O 3.604 4.731 9.082
O -2.295 5.486 3.008
O 1.363 0.755 9.082
O 0.027 1.558 3.008
O 2.268 5.534 3.008
```

Output
Calculated total energy: -291.3 eV for the cell shown



[5]
VASP calculation (GGA-PBEsol) on a relaxed BePt2 crystal.

Structure (extended XYZ):
```
3
Lattice="3.849 0.000 0.000 1.925 3.333 0.000 1.925 1.111 3.143" Properties=species:S:1:pos:R:3 pbc="T T T"
Be 0.000 0.000 0.000
Pt 1.925 1.111 0.786
Pt 5.774 3.333 2.357
```

Output
Calculated total energy: -19.4 eV for the cell shown
DFT formation energy: -0.4773 eV/atom



[6]
VASP calculation (GGA-PBEsol) on a relaxed CoTeO4 crystal.

Structure (extended XYZ):
```
6
Lattice="-1.103 -0.733 2.758 -3.838 -2.341 -2.157 4.106 -3.365 0.748" Properties=species:S:1:pos:R:3 pbc="T T T"
Te 0.134 -2.853 -0.705
Co -2.471 -1.537 0.300
O 1.918 -3.257 -0.099
O -1.650 -2.450 -1.311
O -0.459 -1.928 1.001
O -0.377 -4.512 0.347
```

Output
Calculated total energy: -36.9 eV for the cell shown
Polymorph energy (0 for the lowest one): 0.135 eV per atom



[7]
VASP calculation (GGA-PBEsol) on a relaxed TcSbPF2 crystal.

Structure (extended XYZ):
```
5
Lattice="-1.546 0.748 -3.503 -3.353 -1.647 1.128 -1.811 4.962 1.859" Properties=species:S:1:pos:R:3 pbc="T T T"
Sb -0.906 2.481 0.930
F -1.676 -0.823 0.564
F -0.773 0.374 -1.752
Tc 0.000 0.000 0.000
P -3.355 2.032 -0.258
```

Output
Calculated total energy: -28.2 eV for the cell shown



[8]
VASP calculation (GGA-PBEsol) on a relaxed BeIr crystal.

Structure (extended XYZ):
```
2
Lattice="-0.930 3.038 -1.369 -2.931 1.531 1.017 0.126 2.874 1.921" Properties=species:S:1:pos:R:3 pbc="T T T"
Be 0.000 0.000 0.000
Ir -0.934 1.860 0.392
```

Output
Calculated total energy: -11.6 eV for the cell shown
DFT formation energy: 1.1004 eV/atom



[9]
VASP calculation (GGA-PBEsol) on a relaxed In2SbCl crystal.

Structure (extended XYZ):
```
4
Lattice="-0.577 -4.146 -0.923 3.546 -0.984 2.204 -3.275 -0.652 4.979" Properties=species:S:1:pos:R:3 pbc="T T T"
Sb 0.000 0.000 0.000
Cl -0.153 -2.891 3.130
In -1.638 -0.326 2.489
In 1.485 -2.565 0.641
```

Output
Calculated total energy: -13.9 eV for the cell shown
Polymorph energy (0 for the lowest one): 0.000 eV per atom



[10]
VASP calculation (GGA-PBEsol) on a relaxed CuMo2Pt crystal.

Structure (extended XYZ):
```
4
Lattice="-1.521 2.639 -2.011 0.032 -2.244 -2.968 -3.038 -1.600 3.509" Properties=species:S:1:pos:R:3 pbc="T T T"
Cu -0.760 1.319 -1.006
Mo -2.641 -0.506 -1.978
Mo -1.886 -0.699 0.508
Pt 0.016 -1.122 -1.484
```

Output
Calculated total energy: -35.0 eV for the cell shown
Polymorph energy (0 for the lowest one): 0.021 eV per atom
DFT formation energy: -0.0370 eV/atom



[11]
VASP calculation (GGA-PBEsol) on a relaxed TlCoNiSe2 crystal.

Structure (extended XYZ):
```
5
Lattice="-0.663 -3.595 -0.606 0.137 -0.640 3.647 -6.577 3.301 -1.055" Properties=species:S:1:pos:R:3 pbc="T T T"
Ni -3.351 0.272 2.056
Tl 0.000 0.000 0.000
Co -3.752 -1.206 -0.071
Se -4.825 0.835 0.328
Se -2.279 -1.769 1.658
```

Output
Calculated total energy: -25.4 eV for the cell shown



[12]
VASP calculation (GGA-PBEsol) on a relaxed AlRhCl2 crystal.

Structure (extended XYZ):
```
4
Lattice="-2.298 -1.834 -0.781 1.676 -0.686 2.605 -5.258 4.627 4.601" Properties=species:S:1:pos:R:3 pbc="T T T"
Rh -3.778 1.397 1.910
Al -1.149 -0.917 -0.391
Cl -3.756 3.306 3.287
Cl -1.502 1.322 1.314
```

Output
Calculated total energy: -16.1 eV for the cell shown
Polymorph energy (0 for the lowest one): 0.418 eV per atom



Number 1: calculated volume 44.4 Å³/cell, spin magnetization 0.00 μB per formula unit. Number 2: calculated volume 150.1 Å³/cell, spin magnetization 0.00 μB per formula unit. Number 3: calculated volume 424.8 Å³/cell, spin magnetization 0.00 μB per formula unit. Number 4: calculated volume 554.8 Å³/cell, spin magnetization 0.00 μB per formula unit. Number 5: calculated volume 40.3 Å³/cell, spin magnetization 0.00 μB per formula unit. Number 6: calculated volume 76.5 Å³/cell, spin magnetization 3.01 μB per formula unit. Number 7: calculated volume 85.3 Å³/cell, spin magnetization 1.72 μB per formula unit. Number 8: calculated volume 29.3 Å³/cell, spin magnetization 0.00 μB per formula unit. Number 9: calculated volume 110.2 Å³/cell, spin magnetization 0.00 μB per formula unit. Number 10: calculated volume 56.5 Å³/cell, spin magnetization 0.00 μB per formula unit. Number 11: calculated volume 95.5 Å³/cell, spin magnetization 2.03 μB per formula unit. Number 12: calculated volume 71.0 Å³/cell, spin magnetization 0.00 μB per formula unit.